The following is a PBE-GGA calculation of a relaxed structure of PRh2Br, from Alexandria.

Cell: 6.921 6.921 6.921 Å, 152.52 153.26 38.72°
Fractional positions:
Rh1 0.085 0.085 0.000
Br1 0.447 0.447 0.000
Rh2 0.766 0.266 0.500
P1 0.202 0.702 0.500

formation energy from raw total energies	-0.1933	eV/atom
spin magnetization	0.00	μB/f.u.
ρ	7.7	Mg/m³
energy above the lowest structure with this stoichiometry	197	meV/atom